[1]
Material: ZrCr2Hg
Method: DFT, PBE
State: relaxed

Results
* offset from the most stable computed form: 1.74 eV/f.u.

Cell: 9.169 9.169 9.169 Å, 19.76 19.76 19.76°
Fractional coordinates of all 4 atoms:
Cr  0.002  0.002  0.002
Cr  0.498  0.498  0.498
Hg  0.250  0.250  0.250
Zr  0.750  0.750  0.750

***

[2]
Material: ZrCr2Hg
Method: DFT, PBE
State: relaxed

Results
* offset from the most stable computed form: 1.82 eV/f.u.

Cell: 5.091 5.091 5.091 Å, 138.81 128.64 67.86°
Fractional coordinates of all 4 atoms:
Cr  0.007  0.007  0.000
Cr  0.493  0.493  0.000
Hg  0.750  0.250  0.500
Zr  0.250  0.750  0.500

***

[3]
Material: ZrCr2Hg
Method: DFT, PBE
State: relaxed

Results
* offset from the most stable computed form: 1.26 eV/f.u.

Cell: 4.556 3.028 5.256 Å, 86.91 90.00 90.00°
Fractional coordinates of all 4 atoms:
Cr  0.000  0.104  0.927
Cr  0.000  0.396  0.573
Hg  0.500  0.250  0.250
Zr  0.500  0.750  0.750

***

The DFT formation energy results, record by record, are as follows: 54.2; 56.2; 42.7 kJ/mol of atoms.